{
  "formula": "CdInCl6",
  "functional": "PBE",
  "state": "relaxed",
  "lattice": [[6.514, 0.000, 0.000], [-3.255, 5.649, 0.000], [-3.233, -1.873, 5.691]],
  "species": ["Cd", "In", "Cl", "Cl", "Cl", "Cl", "Cl", "Cl"],
  "frac_coords": [[0.000, 0.000, 0.000], [0.000, 0.500, 0.500], [0.168, 0.738, 0.251], [0.176, 0.916, 0.746], [0.486, 0.571, 0.748], [0.514, 0.429, 0.252], [0.824, 0.084, 0.254], [0.832, 0.262, 0.749]],
  "dos_ef_per_ev_fu": 10.68,
  "energy_ev_per_atom": -2.62,
  "space_group": "P-1 (2)"
}

{
  "formula": "CdIn2Cl6",
  "functional": "PBE",
  "state": "relaxed",
  "lattice": [[6.552, -5.075, 0.000], [6.552, 5.075, 0.000], [-3.377, 0.000, 9.295]],
  "species": ["Cd", "Cd", "In", "In", "In", "In", "Cl", "Cl", "Cl", "Cl", "Cl", "Cl", "Cl", "Cl", "Cl", "Cl", "Cl", "Cl"],
  "frac_coords": [[0.052, 0.948, 0.750], [0.948, 0.052, 0.250], [0.271, 0.303, 0.757], [0.303, 0.271, 0.257], [0.697, 0.729, 0.743], [0.729, 0.697, 0.243], [0.026, 0.791, 0.363], [0.039, 0.639, 0.718], [0.209, 0.974, 0.137], [0.299, 0.378, 0.034], [0.361, 0.961, 0.782], [0.378, 0.299, 0.534], [0.622, 0.701, 0.466], [0.639, 0.039, 0.218], [0.701, 0.622, 0.966], [0.791, 0.026, 0.863], [0.961, 0.361, 0.282], [0.974, 0.209, 0.637]],
  "space_group": "C2/c (15)",
  "de_polymorph_kcal_per_mol_atoms": 1.57
}

{
  "formula": "CdInCl5",
  "functional": "PBE",
  "state": "relaxed",
  "lattice": [[5.133, -5.191, 0.000], [5.133, 5.191, 0.000], [-4.581, 0.000, 8.549]],
  "species": ["Cd", "Cd", "In", "In", "Cl", "Cl", "Cl", "Cl", "Cl", "Cl", "Cl", "Cl", "Cl", "Cl"],
  "frac_coords": [[0.000, 0.000, 0.000], [0.000, 0.000, 0.500], [0.387, 0.613, 0.750], [0.613, 0.387, 0.250], [0.074, 0.926, 0.250], [0.238, 0.710, 0.530], [0.260, 0.336, 0.160], [0.290, 0.762, 0.970], [0.336, 0.260, 0.660], [0.664, 0.740, 0.340], [0.710, 0.238, 0.030], [0.740, 0.664, 0.840], [0.762, 0.290, 0.470], [0.926, 0.074, 0.750]],
  "dos_ef_per_ev_fu": 0.00,
  "energy_ev_per_atom": -2.86,
  "space_group": "C2/c (15)"
}

{
  "formula": "Cd2InCl",
  "functional": "PBE",
  "state": "relaxed",
  "lattice": [[-2.382, 2.382, 4.648], [2.382, -2.382, 4.648], [2.382, 2.382, -4.648]],
  "species": ["Cd", "Cd", "In", "Cl"],
  "frac_coords": [[0.000, 0.000, 0.000], [0.750, 0.250, 0.500], [0.500, 0.500, 0.000], [0.250, 0.750, 0.500]],
  "dos_ef_per_ev_fu": 0.85,
  "space_group": "I-4m2 (119)",
  "de_polymorph_kcal_per_mol_atoms": 2.15
}

{
  "formula": "CdInCl3",
  "functional": "PBE",
  "state": "relaxed",
  "lattice": [[5.251, 0.000, 0.000], [0.000, 5.251, 0.000], [0.000, 0.000, 5.251]],
  "species": ["Cd", "In", "Cl", "Cl", "Cl"],
  "frac_coords": [[0.000, 0.000, 0.000], [0.500, 0.500, 0.500], [0.000, 0.500, 0.500], [0.500, 0.000, 0.500], [0.500, 0.500, 0.000]],
  "dos_ef_per_ev_fu": 2.63,
  "energy_ev_per_atom": -2.47,
  "space_group": "Pm-3m (221)"
}

{
  "formula": "Cd2InCl",
  "functional": "PBE",
  "state": "relaxed",
  "lattice": [[5.393, 0.000, 0.000], [0.000, 5.393, 0.000], [0.000, 0.000, 3.400]],
  "species": ["Cd", "Cd", "In", "Cl"],
  "frac_coords": [[0.000, 0.500, 0.000], [0.500, 0.000, 0.000], [0.000, 0.000, 0.500], [0.500, 0.500, 0.500]],
  "dos_ef_per_ev_fu": 0.57,
  "space_group": "P4/mmm (123)",
  "de_polymorph_kcal_per_mol_atoms": 2.28
}